Material: BaCdNiOs2
Method: DFT, SCAN
State: PBEsol geometry

It has space group P4/mmm (No. 123), with a = 5.028 Å, b = 5.028 Å, c = 4.668 Å, α = 90.00°, β = 90.00° and γ = 90.00°. The asymmetric unit holds Ba at (0.000, 0.000, 0.000), Cd at (0.500, 0.500, 0.500), Ni at (0.000, 0.000, 0.500) and Os at (0.000, 0.500, 0.000).

The calculation puts the total DFT energy (no corrections) at -42.934 eV/atom. The total moment comes out at 0.399 μB/atom. The calculation puts the calculated formation energy at 293.8 kJ per mole of atoms. The calculation puts the density of states at the Fermi level at 4.28 states/eV/cell.